1.
Computed, not measured: InBi2As after structural relaxation at the PBE level of DFT.

The value obtained for the energy relative to the lowest polymorph listed for this composition is 0.004 eV per atom. The value obtained for the calculated total energy is -57.24 eV/cell. The calculation puts the formation energy at 0.21 eV/atom. The size of the total moment comes out at 0.000 μB/cell.

The space group is Fm-3m (No. 225) and the conventional cell measures 7.5771, 7.5771 and 7.5771 Å, with angles of 90.00, 90.00 and 90.00 degrees. The asymmetric unit holds In at (0.0000, 0.0000, 0.0000), Bi at (0.2500, 0.2500, 0.2500) and As at (0.0000, 0.0000, 0.5000).


2.
Computed, not measured: TlF4 after structural relaxation at the PBE level of DFT.

Its energy relative to the elements, uncorrected is -1.26 eV per atom. The value obtained for the energy relative to the lowest polymorph listed for this composition is 0.000 eV per atom. The value obtained for the calculated total energy is -64.55 eV/cell. The size of the total moment comes out at 4.004 μB/cell.

The space group is Ccce (No. 68, origin choice 2) and the conventional cell measures 5.5051, 9.2583 and 5.5499 Å, with angles of 90.00, 90.00 and 90.00 degrees. The asymmetric unit holds Tl at (0.0000, 0.2500, 0.2500) and F at (0.2140, 0.1245, 0.5486).


Please write out number 1 again, unchanged.
Computed, not measured: InBi2As after structural relaxation at the PBE level of DFT.

The value obtained for the energy relative to the lowest polymorph listed for this composition is 0.004 eV per atom. The value obtained for the calculated total energy is -57.24 eV/cell. The calculation puts the formation energy at 0.21 eV/atom. The size of the total moment comes out at 0.000 μB/cell.

The space group is Fm-3m (No. 225) and the conventional cell measures 7.5771, 7.5771 and 7.5771 Å, with angles of 90.00, 90.00 and 90.00 degrees. The asymmetric unit holds In at (0.0000, 0.0000, 0.0000), Bi at (0.2500, 0.2500, 0.2500) and As at (0.0000, 0.0000, 0.5000).


- What is the formula in the first record?
  InBi2As


- size of the total moment of number 1 (InBi2As)?
  0.000 μB/cell


- What is the size of the total moment in the first record?
  0.000 μB/cell